This record from Alexandria via LeMat-Bulk describes a geometry-optimized SrHg6Sb structure. The functional is PBE.

raw formation energy = -0.203 eV per atom
D(E_F) = 0.336 states/eV per atom
M_tot = 0.00 μB per formula unit
VASP energy = -9.24 eV/f.u.
crystal system = triclinic
SG = P-1 (2)

abc: 5.590 5.952 6.762
angles: 86.22 87.62 89.74
Element x y z (fractional)
Sr1 0.000 0.000 0.000
Hg1 0.007 0.511 0.739
Hg2 0.496 0.276 0.156
Hg3 0.500 0.232 0.649
Hg4 0.500 0.768 0.351
Hg5 0.504 0.724 0.844
Hg6 0.993 0.489 0.261
Sb1 0.000 0.000 0.500